# PrBPt4, relaxed, DFT PBE
# DOS at the Fermi energy   0.34 states/eV/atom
# Uncorrected energy   -6.49 eV per atom
data_PrBPt4
_chemical_formula_sum 'Pr2 B2 Pt8'
_space_group_name_H-M_alt 'P 1'
_space_group_IT_number 1
_space_group_name_Hall 'P 1'
_cell_length_a 3.9513
_cell_length_b 6.7400
_cell_length_c 7.5732
_cell_angle_alpha 90.00
_cell_angle_beta 90.00
_cell_angle_gamma 90.00
loop_
_atom_site_label
_atom_site_type_symbol
_atom_site_fract_x
_atom_site_fract_y
_atom_site_fract_z
_atom_site_occupancy
Pr1 Pr 0.0000 0.5990 0.7500 1
Pt1 Pt 0.5000 0.3031 0.5616 1
Pt2 Pt 0.0000 0.0000 0.0000 1
Pt3 Pt 0.0000 0.0000 0.5000 1
B1 B 0.0000 0.1491 0.7500 1
B2 B 0.0000 0.8509 0.2500 1
Pt4 Pt 0.5000 0.3031 0.9384 1
Pt5 Pt 0.5000 0.6969 0.4384 1
Pt6 Pt 0.5000 0.9514 0.7500 1
Pr2 Pr 0.0000 0.4010 0.2500 1
Pt7 Pt 0.5000 0.6969 0.0616 1
Pt8 Pt 0.5000 0.0486 0.2500 1